Computed, not measured: a relaxed Mn2GaF8 crystal at the PBE+U level of DFT.

abc: 5.417 5.417 4.869
angles: 101.99 101.99 78.63
Element x y z (fractional)
Mn (0.182, 0.182, 0.448)
Mn (0.818, 0.818, 0.552)
Ga (0.500, 0.500, 0.000)
F (0.063, 0.063, 0.749)
F (0.180, 0.548, 0.732)
F (0.340, 0.340, 0.209)
F (0.452, 0.820, 0.268)
F (0.548, 0.180, 0.732)
F (0.660, 0.660, 0.791)
F (0.820, 0.452, 0.268)
F (0.937, 0.937, 0.251)

* SG: C2/m
* total energy: -5.487 eV/atom
* theoretical density: 4.081 Mg/m³
* crystal system: monoclinic
* total magnetization: 0.818 μB/atom